Entry 1:
Entry from Alexandria via LeMat-Bulk: a relaxed ZnNi2Te crystal (PBE).

Unit cell a=6.1699 b=6.1699 c=6.1699 alpha=90.00 beta=90.00 gamma=90.00
Positions (direct):
Zn1 0.0000 0.0000 0.0000
Zn2 0.0000 0.5000 0.5000
Zn3 0.5000 0.0000 0.5000
Zn4 0.5000 0.5000 0.0000
Ni1 0.2500 0.2500 0.2500
Ni2 0.2500 0.2500 0.7500
Ni3 0.2500 0.7500 0.2500
Ni4 0.2500 0.7500 0.7500
Ni5 0.7500 0.2500 0.2500
Ni6 0.7500 0.2500 0.7500
Ni7 0.7500 0.7500 0.2500
Ni8 0.7500 0.7500 0.7500
Te1 0.0000 0.0000 0.5000
Te2 0.0000 0.5000 0.0000
Te3 0.5000 0.0000 0.0000
Te4 0.5000 0.5000 0.5000

**Uncorrected energy**: -62.89 eV/cell
**Excess energy over the best structure of this formula in the dataset**: 0.279 eV/f.u.
**Formation energy without anion corrections**: 0.3 eV per formula unit

Entry 2:
Entry from Alexandria via LeMat-Bulk: a relaxed PmSmTc2O8 crystal (PBE).

Unit cell a=6.8561 b=6.8561 c=6.8561 alpha=134.62 beta=134.62 gamma=66.12
Positions (direct):
Pm1 0.0000 0.0000 0.0000
Sm1 0.7500 0.2500 0.5000
Tc1 0.2500 0.7500 0.5000
Tc2 0.5000 0.5000 0.0000
O1 0.0013 0.9160 0.5874
O2 0.0840 0.6714 0.0853
O3 0.1630 0.2524 0.5867
O4 0.3286 0.4139 0.4126
O5 0.4236 0.8370 0.0894
O6 0.5861 0.9987 0.9147
O7 0.6657 0.5764 0.4133
O8 0.7476 0.3343 0.9106

**Uncorrected energy**: -96.54 eV/cell
**Formation energy without anion corrections**: -26.7 eV per formula unit

Entry 3:
Entry from Alexandria via LeMat-Bulk: a relaxed CuAs2Cl crystal (PBE).

Unit cell a=6.5896 b=3.9958 c=6.5808 alpha=90.00 beta=96.98 gamma=90.00
Positions (direct):
Cu1 0.0000 0.0000 0.0000
Cu2 0.5000 0.5000 0.0000
As1 0.1585 0.5000 0.1572
As2 0.3415 0.0000 0.8428
As3 0.6585 0.0000 0.1572
As4 0.8415 0.5000 0.8428
Cl1 0.0000 0.5000 0.5000
Cl2 0.5000 0.0000 0.5000

**Uncorrected energy**: -30.79 eV/cell
**Excess energy over the best structure of this formula in the dataset**: 0.534 eV/f.u.
**Formation energy without anion corrections**: -0.2 eV per formula unit

Entry 4:
Entry from Alexandria via LeMat-Bulk: a relaxed BaAgBi2S4 crystal (PBE).

Unit cell a=7.0151 b=7.0151 c=14.1316 alpha=90.00 beta=90.00 gamma=142.81
Positions (direct):
Ba1 0.1291 0.8709 0.7500
Ba2 0.8709 0.1291 0.2500
Ag1 0.1339 0.8661 0.2500
Ag2 0.8661 0.1339 0.7500
Bi1 0.3757 0.6243 0.5511
Bi2 0.3757 0.6243 0.9489
Bi3 0.6243 0.3757 0.0511
Bi4 0.6243 0.3757 0.4489
S1 0.0000 0.0000 0.0000
S2 0.0000 0.0000 0.5000
S3 0.2667 0.7333 0.1113
S4 0.2667 0.7333 0.3887
S5 0.4559 0.5441 0.7500
S6 0.5441 0.4559 0.2500
S7 0.7333 0.2667 0.6113
S8 0.7333 0.2667 0.8887

**Uncorrected energy**: -68.87 eV/cell
**Formation energy without anion corrections**: -5.4 eV per formula unit

Entry 5:
Entry from Alexandria via LeMat-Bulk: a relaxed KTaHg2 crystal (PBE).

Unit cell a=4.3339 b=4.3339 c=10.6205 alpha=90.00 beta=90.00 gamma=90.00
Positions (direct):
K1 0.0000 0.0000 0.0000
K2 0.5000 0.5000 0.5000
Ta1 0.0000 0.5000 0.7500
Ta2 0.5000 0.0000 0.2500
Hg1 0.0000 0.0000 0.5000
Hg2 0.0000 0.5000 0.2500
Hg3 0.5000 0.0000 0.7500
Hg4 0.5000 0.5000 0.0000

**E_form**: 0.909 eV/atom
**Uncorrected energy**: -19.83 eV/cell
**Excess energy over the best structure of this formula in the dataset**: 2.119 eV/f.u.

Entry 6:
Entry from Alexandria via LeMat-Bulk: a relaxed KPmAg2I6 crystal (PBE).

Unit cell a=9.3308 b=9.3308 c=9.3308 alpha=51.38 beta=51.38 gamma=51.38
Positions (direct):
K1 0.0000 0.0000 0.0000
Pm1 0.5000 0.5000 0.5000
Ag1 0.2334 0.2334 0.2334
Ag2 0.7666 0.7666 0.7666
I1 0.1110 0.7341 0.4275
I2 0.2659 0.5725 0.8890
I3 0.4275 0.1110 0.7341
I4 0.5725 0.8890 0.2659
I5 0.7341 0.4275 0.1110
I6 0.8890 0.2659 0.5725

**Uncorrected energy**: -30.15 eV/cell
**Formation energy without anion corrections**: -9.3 eV per formula unit

Entry 7:
Entry from Alexandria via LeMat-Bulk: a relaxed LaSiP2S crystal (PBE).

Unit cell a=4.5270 b=4.5270 c=4.9243 alpha=90.00 beta=90.00 gamma=90.00
Positions (direct):
La1 0.0000 0.0000 0.0000
Si1 0.5000 0.5000 0.5000
P1 0.0000 0.5000 0.5000
P2 0.5000 0.0000 0.5000
S1 0.5000 0.5000 0.0000

**Uncorrected energy**: -27.73 eV/cell
**Excess energy over the best structure of this formula in the dataset**: 0.000 eV/f.u.
**Formation energy without anion corrections**: -2.4 eV per formula unit

Entry 8:
Entry from Alexandria via LeMat-Bulk: a relaxed Ti2Fe2Se crystal (PBE).

Unit cell a=3.2836 b=3.2836 c=14.2871 alpha=90.00 beta=90.00 gamma=90.00
Positions (direct):
Ti1 0.0000 0.0000 0.1132
Ti2 0.0000 0.0000 0.8868
Ti3 0.5000 0.5000 0.3868
Ti4 0.5000 0.5000 0.6132
Fe1 0.0000 0.5000 0.2500
Fe2 0.0000 0.5000 0.7500
Fe3 0.5000 0.0000 0.2500
Fe4 0.5000 0.0000 0.7500
Se1 0.0000 0.0000 0.5000
Se2 0.5000 0.5000 0.0000

**Uncorrected energy**: -74.34 eV/cell
**Excess energy over the best structure of this formula in the dataset**: 0.000 eV/f.u.
**Formation energy without anion corrections**: -1.0 eV per formula unit

Entry 9:
Entry from Alexandria via LeMat-Bulk: a relaxed Mg2Cd8Ag3 crystal (PBE).

Unit cell a=7.5027 b=7.5027 c=5.6766 alpha=96.87 beta=96.87 gamma=64.71
Positions (direct):
Mg1 0.1895 0.1895 0.2642
Mg2 0.8105 0.8105 0.7358
Cd1 0.1989 0.1989 0.7818
Cd2 0.1988 0.5677 0.5573
Cd3 0.4007 0.4007 0.0944
Cd4 0.4323 0.8012 0.4427
Cd5 0.5677 0.1988 0.5573
Cd6 0.5993 0.5993 0.9056
Cd7 0.8012 0.4323 0.4427
Cd8 0.8011 0.8011 0.2182
Ag1 0.0000 0.0000 0.5000
Ag2 0.1754 0.8246 0.0000
Ag3 0.8246 0.1754 0.0000

**E_form**: -0.011 eV/atom
**Uncorrected energy**: -19.20 eV/cell
**Excess energy over the best structure of this formula in the dataset**: 0.000 eV/f.u.

Entry 10:
Entry from Alexandria via LeMat-Bulk: a relaxed YNbGa6 crystal (PBE).

Unit cell a=5.2868 b=9.1342 c=6.0501 alpha=90.00 beta=90.15 gamma=90.00
Positions (direct):
Y1 0.0000 0.0000 0.0000
Y2 0.5000 0.5000 0.0000
Nb1 0.0000 0.0000 0.5000
Nb2 0.5000 0.5000 0.5000
Ga1 0.0001 0.5000 0.2718
Ga2 0.9999 0.5000 0.7282
Ga3 0.2499 0.2500 0.2710
Ga4 0.2501 0.2500 0.7290
Ga5 0.2499 0.7500 0.2710
Ga6 0.2501 0.7500 0.7290
Ga7 0.5001 0.0000 0.2718
Ga8 0.4999 0.0000 0.7282
Ga9 0.7499 0.2500 0.2710
Ga10 0.7501 0.2500 0.7290
Ga11 0.7499 0.7500 0.2710
Ga12 0.7501 0.7500 0.7290

**E_form**: -0.297 eV/atom
**Uncorrected energy**: -74.14 eV/cell

Spin magnetization (Bohr magnetons per cell)
0.0, 4.0, 0.0, 0.0, 4.4, 0.0, 0.0, 5.0, 0.0, 0.0